A relaxed structure of TcPtPb2, computed with GGA-PBE.

Cell and atoms, written as POSCAR:
```
TcPtPb2
1.0
-0.677 -3.703 -4.193
1.968 -4.433 -2.867
-2.258 -4.201 2.191
Pb Pt Tc
2 1 1
Direct
0.975 0.975 0.067
0.772 0.772 0.689
0.534 0.534 0.534
0.219 0.219 0.210
```

energy relative to the lowest polymorph listed for this composition: 146 meV per atom
SG: Cm, No. 8
formation energy: 0.374 eV/atom